DFT (GGA-PBE) results for RbCdGaHg2 after structural relaxation.

Properties
Space-group type   No. 123
Distance to the lowest polymorph of the same formula   0.0000 eV/atom

Lattice parameters (Å, degrees): 5.481 5.481 5.473 90.00 90.00 90.00
Sites, in units of the cell vectors:
Rb (0.000, 0.000, 0.000)
Cd (0.500, 0.500, 0.000)
Ga (0.500, 0.500, 0.500)
Hg (0.000, 0.500, 0.500)
Hg (0.500, 0.000, 0.500)

DFT (GGA-PBE) results for RbCd2GaHg4 after structural relaxation.

Properties
Space-group type   No. 166

Lattice parameters (Å, degrees): 11.309 11.309 11.309 25.43 25.43 25.43
Sites, in units of the cell vectors:
Rb (0.000, 0.000, 0.000)
Cd (0.238, 0.238, 0.238)
Cd (0.762, 0.762, 0.762)
Ga (0.500, 0.500, 0.500)
Hg (0.136, 0.136, 0.136)
Hg (0.401, 0.401, 0.401)
Hg (0.599, 0.599, 0.599)
Hg (0.864, 0.864, 0.864)

DFT (GGA-PBE) results for CdGa2HgRh after structural relaxation.

Properties
Space-group type   No. 123

Lattice parameters (Å, degrees): 4.788 4.788 5.323 90.00 90.00 90.00
Sites, in units of the cell vectors:
Cd (0.000, 0.000, 0.000)
Ga (0.000, 0.500, 0.500)
Ga (0.500, 0.000, 0.500)
Hg (0.500, 0.500, 0.000)
Rh (0.000, 0.000, 0.500)

| no. | final energy (eV/atom) | formation energy (eV/atom) |
| --- | --- | --- |
| 1 | -1.169 | -0.066 |
| 2 | -0.945 | -0.066 |
| 3 | -3.079 | -0.155 |